Record 1
# TaCrPd6 | Alexandria via LeMat-Bulk | PBE-GGA | relaxed
# * calculated volume: 15.38 Å³/atom
# * total DFT energy (no corrections): -6.896 eV per atom
# * formation enthalpy at 0 K: -317 meV/atom
data_TaCrPd6
_chemical_formula_sum 'Ta1 Cr1 Pd6'
_cell_length_a 3.9510
_cell_length_b 3.9510
_cell_length_c 7.8821
_cell_angle_alpha 90.00
_cell_angle_beta 90.00
_cell_angle_gamma 90.00
_symmetry_space_group_name_H-M 'P 4/m m m'
_symmetry_Int_Tables_number 123
_symmetry_space_group_name_Hall '-P 4 2'
loop_
_atom_site_label
_atom_site_fract_x
_atom_site_fract_y
_atom_site_fract_z
_atom_site_occupancy
Ta1 0.0000 0.0000 0.0000 1
Cr1 0.0000 0.0000 0.5000 1
Pd1 0.0000 0.5000 0.2452 1
Pd2 0.5000 0.5000 0.0000 1
Pd3 0.5000 0.5000 0.5000 1


Record 2
# Ta2CrPd2 | Alexandria via LeMat-Bulk | PBE-GGA | relaxed
# * calculated volume: 16.70 Å³/atom
# * total DFT energy (no corrections): -8.499 eV per atom
# * formation enthalpy at 0 K: 244 meV/atom
data_Ta2CrPd2
_chemical_formula_sum 'Ta4 Cr2 Pd4'
_cell_length_a 7.7267
_cell_length_b 7.7267
_cell_length_c 2.7977
_cell_angle_alpha 90.00
_cell_angle_beta 90.00
_cell_angle_gamma 90.00
_symmetry_space_group_name_H-M 'P 4/m b m'
_symmetry_Int_Tables_number 127
_symmetry_space_group_name_Hall '-P 4 2ab'
loop_
_atom_site_label
_atom_site_fract_x
_atom_site_fract_y
_atom_site_fract_z
_atom_site_occupancy
Ta1 0.1764 0.3236 0.0000 1
Cr1 0.0000 0.0000 0.5000 1
Pd1 0.1226 0.6226 0.5000 1


Record 3
# TaCrPd14 | Alexandria via LeMat-Bulk | PBE-GGA | relaxed
# * calculated volume: 15.33 Å³/atom
# * total DFT energy (no corrections): -6.061 eV per atom
# * formation enthalpy at 0 K: -175 meV/atom
data_TaCrPd14
_chemical_formula_sum 'Ta1 Cr1 Pd14'
_cell_length_a 5.5980
_cell_length_b 5.5980
_cell_length_c 7.8292
_cell_angle_alpha 90.00
_cell_angle_beta 90.00
_cell_angle_gamma 90.00
_symmetry_space_group_name_H-M 'P 4/m m m'
_symmetry_Int_Tables_number 123
_symmetry_space_group_name_Hall '-P 4 2'
loop_
_atom_site_label
_atom_site_fract_x
_atom_site_fract_y
_atom_site_fract_z
_atom_site_occupancy
Ta1 0.0000 0.0000 0.0000 1
Cr1 0.5000 0.5000 0.0000 1
Pd1 0.0000 0.0000 0.5000 1
Pd2 0.0000 0.5000 0.0000 1
Pd3 0.0000 0.5000 0.5000 1
Pd4 0.2495 0.2495 0.2428 1
Pd5 0.5000 0.5000 0.5000 1